# GGA-PBE YErMn4, relaxed
data_YErMn4
_symmetry_space_group_name_H-M 'P 1'
_symmetry_Int_Tables_number 1
_cell_length_a 5.094
_cell_length_b 5.094
_cell_length_c 5.094
_cell_angle_alpha 60.00
_cell_angle_beta 60.00
_cell_angle_gamma 60.00
loop_
_symmetry_equiv_pos_as_xyz
'x,y,z'
loop_
_atom_site_label
_atom_site_fract_x
_atom_site_fract_y
_atom_site_fract_z
_atom_site_occupancy
Y1 0.000 0.000 0.000 1
Er1 0.250 0.250 0.250 1
Mn1 0.126 0.625 0.625 1
Mn2 0.625 0.126 0.625 1
Mn3 0.625 0.625 0.126 1
Mn4 0.625 0.625 0.625 1
# Symmetry: F-43m
# Fermi-level density of states in states/eV/cell: 9.06
# Calculated total energy in eV per atom: -7.8235
# Calculated formation energy in meV/atom: 127

***

# GGA-PBE YErMnZn, relaxed
data_YErMnZn
_symmetry_space_group_name_H-M 'P 1'
_symmetry_Int_Tables_number 1
_cell_length_a 4.998
_cell_length_b 4.998
_cell_length_c 4.998
_cell_angle_alpha 60.00
_cell_angle_beta 60.00
_cell_angle_gamma 60.00
loop_
_symmetry_equiv_pos_as_xyz
'x,y,z'
loop_
_atom_site_label
_atom_site_fract_x
_atom_site_fract_y
_atom_site_fract_z
_atom_site_occupancy
Y1 0.000 0.000 0.000 1
Er1 0.500 0.500 0.500 1
Mn1 0.750 0.750 0.750 1
Zn1 0.250 0.250 0.250 1
# Symmetry: F-43m
# Fermi-level density of states in states/eV/cell: 5.23
# Calculated total energy in eV per atom: -5.4161
# Calculated formation energy in meV/atom: -48

***

# GGA-PBE Er5MnZn4, relaxed
data_Er5MnZn4
_symmetry_space_group_name_H-M 'P 1'
_symmetry_Int_Tables_number 1
_cell_length_a 3.523
_cell_length_b 3.523
_cell_length_c 17.696
_cell_angle_alpha 90.00
_cell_angle_beta 90.00
_cell_angle_gamma 90.00
loop_
_symmetry_equiv_pos_as_xyz
'x,y,z'
loop_
_atom_site_label
_atom_site_fract_x
_atom_site_fract_y
_atom_site_fract_z
_atom_site_occupancy
Er1 0.000 0.000 0.000 1
Er2 0.000 0.000 0.201 1
Er3 0.000 0.000 0.402 1
Er4 0.000 0.000 0.598 1
Er5 0.000 0.000 0.799 1
Mn1 0.500 0.500 0.500 1
Zn1 0.500 0.500 0.101 1
Zn2 0.500 0.500 0.301 1
Zn3 0.500 0.500 0.699 1
Zn4 0.500 0.500 0.899 1
# Symmetry: P4/mmm
# Fermi-level density of states in states/eV/cell: 11.41
# Calculated total energy in eV per atom: -3.9528
# Calculated formation energy in meV/atom: -245

***

# GGA-PBE Er6MnZn5, relaxed
data_Er6MnZn5
_symmetry_space_group_name_H-M 'P 1'
_symmetry_Int_Tables_number 1
_cell_length_a 8.633
_cell_length_b 8.633
_cell_length_c 4.967
_cell_angle_alpha 106.61
_cell_angle_beta 106.61
_cell_angle_gamma 48.46
loop_
_symmetry_equiv_pos_as_xyz
'x,y,z'
loop_
_atom_site_label
_atom_site_fract_x
_atom_site_fract_y
_atom_site_fract_z
_atom_site_occupancy
Er1 0.083 0.587 0.335 1
Er2 0.245 0.755 0.000 1
Er3 0.413 0.917 0.665 1
Er4 0.587 0.083 0.335 1
Er5 0.755 0.245 0.000 1
Er6 0.917 0.413 0.665 1
Mn1 0.000 0.000 0.500 1
Zn1 0.166 0.166 0.167 1
Zn2 0.334 0.334 0.834 1
Zn3 0.500 0.500 0.500 1
Zn4 0.666 0.666 0.166 1
Zn5 0.834 0.834 0.833 1
# Symmetry: C2/m
# Fermi-level density of states in states/eV/cell: 13.14
# Calculated total energy in eV per atom: -3.8327
# Calculated formation energy in meV/atom: -256

***

# GGA-PBE ErMnZn17, relaxed
data_ErMnZn17
_symmetry_space_group_name_H-M 'P 1'
_symmetry_Int_Tables_number 1
_cell_length_a 6.756
_cell_length_b 6.756
_cell_length_c 6.756
_cell_angle_alpha 81.96
_cell_angle_beta 81.96
_cell_angle_gamma 81.96
loop_
_symmetry_equiv_pos_as_xyz
'x,y,z'
loop_
_atom_site_label
_atom_site_fract_x
_atom_site_fract_y
_atom_site_fract_z
_atom_site_occupancy
Er1 0.000 0.000 0.000 1
Mn1 0.275 0.275 0.275 1
Zn1 0.011 0.011 0.492 1
Zn2 0.011 0.492 0.011 1
Zn3 0.160 0.674 0.674 1
Zn4 0.314 0.314 0.822 1
Zn5 0.314 0.822 0.314 1
Zn6 0.357 0.652 0.980 1
Zn7 0.357 0.980 0.652 1
Zn8 0.492 0.011 0.011 1
Zn9 0.558 0.558 0.558 1
Zn10 0.652 0.357 0.980 1
Zn11 0.652 0.980 0.357 1
Zn12 0.674 0.160 0.674 1
Zn13 0.674 0.674 0.160 1
Zn14 0.760 0.760 0.760 1
Zn15 0.822 0.314 0.314 1
Zn16 0.980 0.357 0.652 1
Zn17 0.980 0.652 0.357 1
# Symmetry: R3m
# Fermi-level density of states in states/eV/cell: 5.38
# Calculated total energy in eV per atom: -1.9212
# Calculated formation energy in meV/atom: -59

***

# GGA-PBE ErMnZn2, relaxed
data_ErMnZn2
_symmetry_space_group_name_H-M 'P 1'
_symmetry_Int_Tables_number 1
_cell_length_a 3.287
_cell_length_b 3.287
_cell_length_c 6.644
_cell_angle_alpha 90.00
_cell_angle_beta 90.00
_cell_angle_gamma 90.00
loop_
_symmetry_equiv_pos_as_xyz
'x,y,z'
loop_
_atom_site_label
_atom_site_fract_x
_atom_site_fract_y
_atom_site_fract_z
_atom_site_occupancy
Er1 0.000 0.000 0.000 1
Mn1 0.000 0.000 0.500 1
Zn1 0.500 0.500 0.297 1
Zn2 0.500 0.500 0.703 1
# Symmetry: P4/mmm
# Fermi-level density of states in states/eV/cell: 3.60
# Calculated total energy in eV per atom: -4.1577
# Calculated formation energy in meV/atom: -88

***

# GGA-PBE Er2ZrMn, relaxed
data_Er2ZrMn
_symmetry_space_group_name_H-M 'P 1'
_symmetry_Int_Tables_number 1
_cell_length_a 3.354
_cell_length_b 3.354
_cell_length_c 8.500
_cell_angle_alpha 90.00
_cell_angle_beta 90.00
_cell_angle_gamma 90.00
loop_
_symmetry_equiv_pos_as_xyz
'x,y,z'
loop_
_atom_site_label
_atom_site_fract_x
_atom_site_fract_y
_atom_site_fract_z
_atom_site_occupancy
Er1 0.000 0.000 0.224 1
Er2 0.000 0.000 0.776 1
Zr1 0.500 0.500 0.500 1
Mn1 0.500 0.500 0.000 1
# Symmetry: P4/mmm
# Fermi-level density of states in states/eV/cell: 4.89
# Calculated total energy in eV per atom: -6.5511
# Calculated formation energy in meV/atom: 160
# Energy relative to the lowest polymorph listed for this composition in meV/atom: 0

***

# GGA-PBE Er2ZrMn, relaxed
data_Er2ZrMn
_symmetry_space_group_name_H-M 'P 1'
_symmetry_Int_Tables_number 1
_cell_length_a 5.166
_cell_length_b 5.166
_cell_length_c 5.166
_cell_angle_alpha 60.00
_cell_angle_beta 60.00
_cell_angle_gamma 60.00
loop_
_symmetry_equiv_pos_as_xyz
'x,y,z'
loop_
_atom_site_label
_atom_site_fract_x
_atom_site_fract_y
_atom_site_fract_z
_atom_site_occupancy
Er1 0.250 0.250 0.250 1
Er2 0.750 0.750 0.750 1
Zr1 0.000 0.000 0.000 1
Mn1 0.500 0.500 0.500 1
# Symmetry: Fm-3m
# Fermi-level density of states in states/eV/cell: 3.99
# Calculated total energy in eV per atom: -6.4198
# Calculated formation energy in meV/atom: 291
# Energy relative to the lowest polymorph listed for this composition in meV/atom: 131